1.
Density functional theory data (PBE) for a geometry-optimized Na2CrCl structure.

a b c (Å): 3.3654 3.3760 15.6054
angles (deg): 89.99 89.99 89.99
With the nearest neighbours (Å) after each atom.
Space group P1 (No. 1)
Unique sites:
Na 0.0000 0.0000 0.0000 [1 per cell]  8 Cl 2.91-3.02
Na 0.0027 0.0044 0.2226 [1 per cell]  4 Cl 2.90
Na 0.4970 0.4935 0.4215 [1 per cell]  5 Cr 3.16-3.37, 4 Na 3.37-3.38
Na 0.9970 0.9930 0.7796 [1 per cell]  4 Cl 2.95-2.96, 1 Cr 3.21
Cr 0.4975 0.4924 0.6241 [1 per cell]  4 Cr 2.51
Cr 0.9975 0.9924 0.5740 [1 per cell]  4 Cr 2.51
Cl 0.4973 0.4949 0.8911 [1 per cell]  8 Na 2.91-2.96
Cl 0.5035 0.5050 0.1167 [1 per cell]  8 Na 2.90-3.02

## Properties
* total moment: 0.02 μB per formula unit
* offset from the most stable computed form: 0.000 eV/atom
* DFT total energy: -32.33 eV/cell
* formation energy (no corrections): -11.8 kcal/mol of atoms



2.
Density functional theory data (PBE) for a geometry-optimized SrCaGa structure.

a b c (Å): 3.8674 3.8674 13.4811
angles (deg): 90.00 90.00 90.00
With the nearest neighbours (Å) after each atom.
Space group I4mm (No. 107)
Unique sites:
Sr 0.0000 0.0000 0.0000 [2 per cell]  4 Ga 3.36, 1 Ca 3.57
Ca 0.0000 0.0000 0.2648 [2 per cell]  4 Ga 3.18
Ga 0.0000 0.0000 0.6448 [2 per cell]  4 Ca 3.18, 4 Sr 3.36

## Properties
* total moment: 0.00 μB per formula unit
* energy of formation: -290 meV per atom
* DFT total energy: -15.16 eV/cell



3.
Density functional theory data (PBE) for a geometry-optimized VTcSe3 structure.

a b c (Å): 4.8433 4.8433 4.8433
angles (deg): 90.00 90.00 90.00
With the nearest neighbours (Å) after each atom.
Space group Pm-3m (No. 221)
Unique sites:
V 0.0000 0.0000 0.0000 [1 per cell]  6 Se 2.42
Tc 0.5000 0.5000 0.5000 [1 per cell]  12 Se 3.42
Se 0.0000 0.0000 0.5000 [3 per cell]  2 V 2.42

## Properties
* total moment: 5.63 μB per formula unit
* DFT total energy: -26.99 eV/cell
* formation energy (no corrections): 13.6 kcal/mol of atoms



4.
Density functional theory data (PBE) for a geometry-optimized NdTm5Cd3 structure.

a b c (Å): 9.1202 9.1202 6.8911
angles (deg): 90.00 90.00 120.00
With the nearest neighbours (Å) after each atom.
Space group P6_3/mcm (No. 193)
Unique sites:
Nd 0.0000 0.0000 0.0000 [2 per cell]  2 Nd 3.45, 6 Tm 3.51, 6 Cd 3.52
Tm 0.0000 0.3350 0.2500 [6 per cell]  3 Cd 2.99-3.06
Tm 0.3333 0.6667 0.0000 [4 per cell]  8 Tm 3.45-3.49, 6 Cd 3.48
Cd 0.0000 0.3369 0.7500 [6 per cell]  3 Tm 2.99-3.06

## Properties
* total moment: 0.00 μB per formula unit
* energy of formation: -169 meV per atom
* DFT total energy: -62.79 eV/cell